# 1
Here is crystalline DyTiOs4 at its relaxed geometry from Alexandria via LeMat-Bulk. Energies are from GGA-PBE.

Cell and atoms, written as CIF:
```
data_DyTiOs4
_symmetry_space_group_name_H-M 'P 1'
_symmetry_Int_Tables_number 1
_cell_length_a 5.2478
_cell_length_b 5.2478
_cell_length_c 5.2478
_cell_angle_alpha 60.00
_cell_angle_beta 60.00
_cell_angle_gamma 60.00
loop_
_symmetry_equiv_pos_as_xyz
'x,y,z'
loop_
_atom_site_label
_atom_site_fract_x
_atom_site_fract_y
_atom_site_fract_z
Dy1 0.0000 0.0000 0.0000
Ti1 0.7500 0.7500 0.7500
Os1 0.3754 0.3754 0.3754
Os2 0.3754 0.3754 0.8739
Os3 0.3754 0.8739 0.3754
Os4 0.8739 0.3754 0.3754
```

The density of states at the Fermi level is 1.0044 states/eV per atom. The total energy is -9.72 eV/atom. For the calculated volume, the calculation gives 102.2 Å³/cell. As for the formation energy: -0.153 eV/atom. The space-group type is F-43m.

***

# 2
Here is crystalline DyTiZnOs at its relaxed geometry from Alexandria via LeMat-Bulk. Energies are from GGA-PBE.

Cell and atoms, written as CIF:
```
data_DyTiZnOs
_symmetry_space_group_name_H-M 'P 1'
_symmetry_Int_Tables_number 1
_cell_length_a 4.6699
_cell_length_b 4.6699
_cell_length_c 4.6699
_cell_angle_alpha 60.00
_cell_angle_beta 60.00
_cell_angle_gamma 60.00
loop_
_symmetry_equiv_pos_as_xyz
'x,y,z'
loop_
_atom_site_label
_atom_site_fract_x
_atom_site_fract_y
_atom_site_fract_z
Dy1 0.0000 0.0000 0.0000
Ti1 0.5000 0.5000 0.5000
Zn1 0.7500 0.7500 0.7500
Os1 0.2500 0.2500 0.2500
```

The density of states at the Fermi level is 0.6972 states/eV per atom. The total energy is -6.44 eV/atom. For the calculated volume, the calculation gives 72.0 Å³/cell. As for the formation energy: -0.190 eV/atom. The space-group type is F-43m.